Hf2TlNiW (PBE-GGA, relaxed); final energy = -38.20 eV/cell; ΔE_f = 0.56 eV per atom; volume = 21.12 A^3/atom
1.0
4.825 0.000 0.000
0.000 4.536 0.000
0.000 0.000 4.825
Hf W Ni Tl
2 1 1 1
Direct
0.500 0.000 0.000 Hf
0.000 0.000 0.500 Hf
0.000 0.500 0.000 W
0.000 0.000 0.000 Ni
0.500 0.500 0.500 Tl

Hf2NiC (PBE-GGA, relaxed); final energy = -75.33 eV/cell; ΔE_f = -0.69 eV per atom; volume = 14.56 A^3/atom
1.0
3.412 0.000 0.000
0.000 3.282 -0.583
0.000 0.151 10.380
Hf Ni C
4 2 2
Direct
0.750 0.696 0.393 Hf
0.750 0.916 0.831 Hf
0.250 0.084 0.169 Hf
0.250 0.304 0.607 Hf
0.750 0.542 0.083 Ni
0.250 0.458 0.917 Ni
0.250 0.193 0.386 C
0.750 0.807 0.614 C

Pm2Y8In (PBE-GGA, relaxed); final energy = -64.63 eV/cell; ΔE_f = -0.06 eV per atom; volume = 32.11 A^3/atom
1.0
5.362 0.000 -1.539
-0.123 6.498 -0.427
0.010 -0.139 10.146
Y Pm In
8 2 1
Direct
0.847 0.190 0.695 Y
0.661 0.123 0.321 Y
0.153 0.810 0.305 Y
0.422 0.401 0.844 Y
0.339 0.877 0.679 Y
0.956 0.737 0.912 Y
0.044 0.263 0.088 Y
0.578 0.599 0.156 Y
0.243 0.336 0.486 Pm
0.757 0.664 0.514 Pm
0.500 0.000 0.000 In